(1)
VASP calculation (GGA-PBE) on a geometry-optimized Mn2TcPt structure.

Structure (extended XYZ):
```
4
Lattice="3.092 0.000 0.000 0.000 3.092 0.000 0.000 0.000 5.984" Properties=species:S:1:pos:R:3 pbc="T T T"
Pt 1.546 1.546 1.496
Mn 0.000 0.000 5.951
Mn 0.000 0.000 3.025
Tc 1.546 1.546 4.488
```

Computed properties:
Offset from the most stable computed form: 0.000 eV/atom
Formation energy: -0.50 eV/f.u.

(2)
VASP calculation (GGA-PBE) on a geometry-optimized MnTcPt2 structure.

Structure (extended XYZ):
```
4
Lattice="-2.516 3.697 1.661 -3.787 1.384 2.549 2.027 0.516 4.246" Properties=species:S:1:pos:R:3 pbc="T T T"
Mn -3.208 4.197 6.342
Pt -2.138 2.794 4.218
Pt 0.000 0.004 0.010
Tc -1.069 1.399 2.114
```

Computed properties:
Offset from the most stable computed form: 0.102 eV/atom
Formation energy: -0.49 eV/f.u.

(3)
VASP calculation (GGA-PBE) on a geometry-optimized MnTc2Pt structure.

Structure (extended XYZ):
```
4
Lattice="-1.515 -2.228 -3.889 0.867 -3.365 -3.210 -2.280 -3.586 1.992" Properties=species:S:1:pos:R:3 pbc="T T T"
Tc -1.445 -4.563 -2.574
Tc -0.666 -5.619 -7.078
Mn -0.732 -2.295 -1.277
Pt -2.196 -6.884 -3.830
```

Computed properties:
Offset from the most stable computed form: 0.070 eV/atom
Formation energy: -0.09 eV/f.u.

(4)
VASP calculation (GGA-PBE) on a geometry-optimized MnTcPt2 structure.

Structure (extended XYZ):
```
4
Lattice="-0.421 4.354 -1.862 -1.759 4.384 0.536 3.775 2.142 2.080" Properties=species:S:1:pos:R:3 pbc="T T T"
Mn 1.215 8.196 0.576
Tc 0.765 5.385 0.360
Pt 0.484 2.735 0.236
Pt 3.703 2.148 2.040
```

Computed properties:
Offset from the most stable computed form: 0.027 eV/atom
Formation energy: -0.79 eV/f.u.

(5)
VASP calculation (GGA-PBE) on a geometry-optimized MnTcPt structure.

Structure (extended XYZ):
```
3
Lattice="4.885 -0.017 0.000 2.852 3.966 0.000 -3.869 -1.974 2.236" Properties=species:S:1:pos:R:3 pbc="T T T"
Mn 0.043 0.022 0.000
Tc 5.054 2.579 0.000
Pt 2.640 1.347 0.000
```

Computed properties:
Offset from the most stable computed form: 0.109 eV/atom
Formation energy: 0.05 eV/f.u.

(6)
VASP calculation (GGA-PBE) on a geometry-optimized MnTc4Pt structure.

Structure (extended XYZ):
```
6
Lattice="0.342 1.398 4.872 -4.189 1.267 2.580 -1.758 -3.063 3.651" Properties=species:S:1:pos:R:3 pbc="T T T"
Tc -1.929 0.551 6.602
Pt 0.000 0.000 0.000
Tc -2.981 -1.684 5.990
Tc -4.200 0.486 5.453
Mn -4.204 -0.299 8.327
Tc -2.100 -0.149 4.160
```

Computed properties:
Formation energy: 1.81 eV/f.u.

(7)
VASP calculation (GGA-PBE) on a geometry-optimized MnTcPt2 structure.

Structure (extended XYZ):
```
4
Lattice="-3.197 1.385 -2.679 -3.527 -2.527 -0.703 -3.902 1.165 1.654" Properties=species:S:1:pos:R:3 pbc="T T T"
Pt -2.657 0.006 -0.432
Tc -7.970 0.017 -1.296
Pt 0.000 0.000 0.000
Mn -5.314 0.011 -0.864
```

Computed properties:
Offset from the most stable computed form: 0.267 eV/atom
Formation energy: 0.17 eV/f.u.

(8)
VASP calculation (GGA-PBE) on a geometry-optimized Mn2TcPt structure.

Structure (extended XYZ):
```
4
Lattice="4.775 0.000 0.002 3.987 2.628 0.002 0.764 0.229 4.485" Properties=species:S:1:pos:R:3 pbc="T T T"
Tc 2.361 0.708 1.057
Pt 4.776 1.432 2.285
Mn 8.751 2.624 0.054
Mn 7.163 2.148 3.344
```

Computed properties:
Offset from the most stable computed form: 0.111 eV/atom
Formation energy: -0.05 eV/f.u.